Model w:
# Ba2Sn5Hg4

A relaxed structure of Ba2Sn5Hg4 (PBE, Alexandria).

a b c (Å): 7.938 7.938 7.938
angles (deg): 130.14 103.05 97.44
Fractional coordinates of all 11 atoms:
Ba 0.238 0.000 0.238
Ba 0.762 0.000 0.762
Sn 0.000 0.500 0.500
Sn 0.256 0.520 0.263
Sn 0.256 0.993 0.737
Sn 0.744 0.007 0.263
Sn 0.744 0.480 0.737
Hg 0.132 0.354 0.778
Hg 0.424 0.646 0.778
Hg 0.576 0.354 0.222
Hg 0.868 0.646 0.222

Model x:
# Ba2Sn5Hg4

A relaxed structure of Ba2Sn5Hg4 (PBE, Alexandria).

a b c (Å): 10.669 9.635 6.629
angles (deg): 79.64 62.68 37.68
Fractional coordinates of all 11 atoms:
Ba 0.130 0.130 0.870
Ba 0.870 0.870 0.130
Sn 0.000 0.000 0.500
Sn 0.250 0.250 0.250
Sn 0.500 0.500 0.000
Sn 0.500 0.500 0.500
Sn 0.750 0.750 0.750
Hg 0.223 0.491 0.509
Hg 0.491 0.223 0.777
Hg 0.509 0.777 0.223
Hg 0.777 0.509 0.491

The structure with the most favorable energy is model w; the runner-up is 1.5 kJ/mol of atoms above it.

Model w:
# BaSrHg3

A relaxed structure of BaSrHg3 (PBE, Alexandria).

a b c (Å): 15.629 15.629 5.057
angles (deg): 90.00 90.00 164.00
Fractional coordinates of all 10 atoms:
Ba 0.073 0.927 0.750
Ba 0.927 0.073 0.250
Sr 0.206 0.794 0.250
Sr 0.794 0.206 0.750
Hg 0.319 0.681 0.250
Hg 0.377 0.623 0.750
Hg 0.475 0.525 0.750
Hg 0.525 0.475 0.250
Hg 0.623 0.377 0.250
Hg 0.681 0.319 0.750

Model x:
# BaSrHg3

A relaxed structure of BaSrHg3 (PBE, Alexandria).

a b c (Å): 6.020 6.020 6.020
angles (deg): 90.00 90.00 90.00
Fractional coordinates of all 5 atoms:
Ba 0.000 0.000 0.000
Sr 0.500 0.500 0.500
Hg 0.000 0.500 0.500
Hg 0.500 0.000 0.500
Hg 0.500 0.500 0.000

Model y:
# BaSrHg3

A relaxed structure of BaSrHg3 (PBE, Alexandria).

a b c (Å): 6.197 6.197 6.197
angles (deg): 90.00 90.00 90.00
Fractional coordinates of all 5 atoms:
Ba 0.000 0.000 0.000
Sr 0.500 0.500 0.500
Hg 0.000 0.000 0.500
Hg 0.000 0.500 0.000
Hg 0.500 0.000 0.000

The structure with the most favorable energy is model w; the runner-up is 38.9 kJ/mol of atoms above it.

Model w:
# Ba2Sr6Hg

A relaxed structure of Ba2Sr6Hg (PBE, Alexandria).

a b c (Å): 11.128 11.128 4.268
angles (deg): 101.04 101.04 66.37
Fractional coordinates of all 9 atoms:
Ba 0.129 0.129 0.126
Ba 0.871 0.871 0.874
Sr 0.167 0.476 0.821
Sr 0.270 0.730 0.500
Sr 0.476 0.167 0.821
Sr 0.524 0.833 0.179
Sr 0.730 0.270 0.500
Sr 0.833 0.524 0.179
Hg 0.500 0.500 0.000

Model x:
# Ba2Sr6Hg

A relaxed structure of Ba2Sr6Hg (PBE, Alexandria).

a b c (Å): 4.445 11.034 11.034
angles (deg): 120.48 90.00 90.00
Fractional coordinates of all 9 atoms:
Ba 0.000 0.177 0.823
Ba 0.000 0.823 0.177
Sr 0.000 0.260 0.484
Sr 0.000 0.484 0.260
Sr 0.000 0.753 0.753
Sr 0.500 0.099 0.099
Sr 0.500 0.506 0.853
Sr 0.500 0.853 0.506
Hg 0.500 0.516 0.516

The structure with the most favorable energy is model x; the runner-up is 3.5 kJ/mol of atoms above it.